This record from the Alexandria database describes ScAsN2F after structural relaxation. The functional is GGA-PBEsol.

Lattice parameters (Å, degrees): 4.171 4.171 3.827 90.00 90.00 90.00
Space group P4/mmm (No. 123)
Unique sites:
Sc 0.000 0.000 0.000 (multiplicity 1)
As 0.500 0.500 0.500 (multiplicity 1)
N 0.000 0.500 0.000 (multiplicity 2)
F 0.000 0.000 0.500 (multiplicity 1)

Properties
Calculated total energy (eV per atom): -6.3493
Density of states at the Fermi level (states/eV/cell): 2.77
Formation energy from raw total energies (meV/atom): -211
Crystal system: tetragonal

---

This record from the Alexandria database describes AsSeNF2 after structural relaxation. The functional is GGA-PBEsol.

Lattice parameters (Å, degrees): 3.933 3.933 4.118 90.00 90.00 90.00
Space group P4/mmm (No. 123)
Unique sites:
As 0.000 0.000 0.000 (multiplicity 1)
Se 0.500 0.500 0.000 (multiplicity 1)
N 0.500 0.500 0.500 (multiplicity 1)
F 0.000 0.500 0.500 (multiplicity 2)

Properties
Calculated total energy (eV per atom): -3.9059
Excess energy over the best structure of this formula in the dataset (meV/atom): 401.9
Density of states at the Fermi level (states/eV/cell): 2.29
Formation energy from raw total energies (meV/atom): 362
Crystal system: tetragonal

---

This record from the Alexandria database describes AsSeNF2 after structural relaxation. The functional is GGA-PBEsol.

Lattice parameters (Å, degrees): 3.944 3.944 4.299 90.00 90.00 90.00
Space group P4/mmm (No. 123)
Unique sites:
As 0.000 0.000 0.000 (multiplicity 1)
Se 0.500 0.500 0.500 (multiplicity 1)
N 0.000 0.000 0.500 (multiplicity 1)
F 0.000 0.500 0.000 (multiplicity 2)

Properties
Calculated total energy (eV per atom): -4.3077
Excess energy over the best structure of this formula in the dataset (meV/atom): 0.0
Density of states at the Fermi level (states/eV/cell): 3.19
Formation energy from raw total energies (meV/atom): -40
Crystal system: tetragonal

---

This record from the Alexandria database describes SiAs2NF after structural relaxation. The functional is GGA-PBEsol.

Lattice parameters (Å, degrees): 4.296 4.296 3.689 90.00 90.00 90.00
Space group P4/mmm (No. 123)
Unique sites:
Si 0.000 0.000 0.000 (multiplicity 1)
As 0.000 0.500 0.500 (multiplicity 2)
N 0.500 0.500 0.500 (multiplicity 1)
F 0.500 0.500 0.000 (multiplicity 1)

Properties
Calculated total energy (eV per atom): -4.8356
Density of states at the Fermi level (states/eV/cell): 2.03
Formation energy from raw total energies (meV/atom): 447
Crystal system: tetragonal

---

This record from the Alexandria database describes Te2AsNF after structural relaxation. The functional is GGA-PBEsol.

Lattice parameters (Å, degrees): 4.745 4.745 4.442 90.00 90.00 90.00
Space group P4/mmm (No. 123)
Unique sites:
Te 0.000 0.500 0.000 (multiplicity 2)
As 0.000 0.000 0.500 (multiplicity 1)
N 0.500 0.500 0.500 (multiplicity 1)
F 0.500 0.500 0.000 (multiplicity 1)

Properties
Calculated total energy (eV per atom): -3.4959
Density of states at the Fermi level (states/eV/cell): 2.68
Formation energy from raw total energies (meV/atom): 1027
Crystal system: tetragonal

---

This record from the Alexandria database describes ZrAsN2F after structural relaxation. The functional is GGA-PBEsol.

Lattice parameters (Å, degrees): 3.660 3.660 5.163 90.00 90.00 90.00
Space group P4/mmm (No. 123)
Unique sites:
Zr 0.000 0.000 0.000 (multiplicity 1)
As 0.000 0.000 0.500 (multiplicity 1)
N 0.000 0.500 0.500 (multiplicity 2)
F 0.500 0.500 0.000 (multiplicity 1)

Properties
Calculated total energy (eV per atom): -6.1809
Density of states at the Fermi level (states/eV/cell): 3.11
Formation energy from raw total energies (meV/atom): 454
Crystal system: tetragonal

---

This record from the Alexandria database describes NaAsO2F after structural relaxation. The functional is GGA-PBEsol.

Lattice parameters (Å, degrees): 3.991 3.991 3.781 90.00 90.00 90.00
Space group P4/mmm (No. 123)
Unique sites:
Na 0.000 0.000 0.000 (multiplicity 1)
As 0.500 0.500 0.500 (multiplicity 1)
O 0.000 0.500 0.000 (multiplicity 2)
F 0.000 0.000 0.500 (multiplicity 1)

Properties
Calculated total energy (eV per atom): -3.8156
Density of states at the Fermi level (states/eV/cell): 1.65
Formation energy from raw total energies (meV/atom): -29
Crystal system: tetragonal

---

This record from the Alexandria database describes NaAsO2F after structural relaxation. The functional is GGA-PBEsol.

Lattice parameters (Å, degrees): 3.784 3.784 4.195 90.00 90.00 90.00
Space group P4/mmm (No. 123)
Unique sites:
Na 0.000 0.000 0.000 (multiplicity 1)
As 0.500 0.500 0.500 (multiplicity 1)
O 0.000 0.500 0.500 (multiplicity 2)
F 0.500 0.500 0.000 (multiplicity 1)

Properties
Calculated total energy (eV per atom): -5.2856
Density of states at the Fermi level (states/eV/cell): 0.38
Formation energy from raw total energies (meV/atom): -1499
Crystal system: tetragonal

---

This record from the Alexandria database describes Rb2NaAsF6 after structural relaxation. The functional is GGA-PBEsol.

Lattice parameters (Å, degrees): 8.628 8.628 8.628 90.00 90.00 90.00
Space group Fm-3m (No. 225)
Unique sites:
Rb 0.250 0.250 0.250 (multiplicity 8)
Na 0.000 0.000 0.000 (multiplicity 4)
As 0.000 0.000 0.500 (multiplicity 4)
F 0.000 0.000 0.262 (multiplicity 24)

Properties
Calculated total energy (eV per atom): -4.5714
Density of states at the Fermi level (states/eV/cell): 0.00
Formation energy from raw total energies (meV/atom): -2559
Crystal system: cubic

---

This record from the Alexandria database describes Na2SrAsF after structural relaxation. The functional is GGA-PBEsol.

Lattice parameters (Å, degrees): 4.555 4.555 5.023 90.00 90.00 90.00
Space group P4/mmm (No. 123)
Unique sites:
Na 0.000 0.500 0.000 (multiplicity 2)
Sr 0.000 0.000 0.500 (multiplicity 1)
As 0.500 0.500 0.500 (multiplicity 1)
F 0.000 0.000 0.000 (multiplicity 1)

Properties
Calculated total energy (eV per atom): -3.8939
Formation energy from raw total energies (meV/atom): -1559
Crystal system: tetragonal

---

This record from the Alexandria database describes NbSnAs2F after structural relaxation. The functional is GGA-PBEsol.

Lattice parameters (Å, degrees): 4.442 4.442 4.638 90.00 90.00 90.00
Space group P4/mmm (No. 123)
Unique sites:
Nb 0.000 0.000 0.000 (multiplicity 1)
Sn 0.500 0.500 0.000 (multiplicity 1)
As 0.000 0.500 0.500 (multiplicity 2)
F 0.500 0.500 0.500 (multiplicity 1)

Properties
Calculated total energy (eV per atom): -5.2835
Density of states at the Fermi level (states/eV/cell): 4.44
Formation energy from raw total energies (meV/atom): 161
Crystal system: tetragonal

---

This record from the Alexandria database describes NiAsW2F after structural relaxation. The functional is GGA-PBEsol.

Lattice parameters (Å, degrees): 3.984 3.984 4.622 90.00 90.00 90.00
Space group P4/mmm (No. 123)
Unique sites:
Ni 0.000 0.000 0.000 (multiplicity 1)
As 0.500 0.500 0.000 (multiplicity 1)
W 0.000 0.500 0.500 (multiplicity 2)
F 0.500 0.500 0.500 (multiplicity 1)

Properties
Calculated total energy (eV per atom): -7.1946
Density of states at the Fermi level (states/eV/cell): 3.72
Formation energy from raw total energies (meV/atom): 967
Crystal system: tetragonal

---

This record from the Alexandria database describes ZrNiAs2F after structural relaxation. The functional is GGA-PBEsol.

Lattice parameters (Å, degrees): 4.608 4.608 3.685 90.00 90.00 90.00
Space group P4/mmm (No. 123)
Unique sites:
Zr 0.000 0.000 0.000 (multiplicity 1)
Ni 0.500 0.500 0.000 (multiplicity 1)
As 0.000 0.500 0.500 (multiplicity 2)
F 0.500 0.500 0.500 (multiplicity 1)

Properties
Calculated total energy (eV per atom): -5.7809
Density of states at the Fermi level (states/eV/cell): 2.67
Formation energy from raw total energies (meV/atom): -303
Crystal system: tetragonal

---

This record from the Alexandria database describes As3Pb5O12F after structural relaxation. The functional is GGA-PBEsol.

Lattice parameters (Å, degrees): 10.1365 10.1365 7.4659 90.00 90.00 120.00
Space group P6_3/m (No. 176)
Unique sites:
As 0.0290 0.4014 0.2500 (multiplicity 6)
Pb 0.0036 0.7575 0.2500 (multiplicity 6)
Pb 0.3333 0.6667 0.5036 (multiplicity 4)
O 0.0932 0.3461 0.0679 (multiplicity 12)
O 0.1231 0.5981 0.2500 (multiplicity 6)
O 0.1640 0.6722 0.7500 (multiplicity 6)
F 0.0000 0.0000 0.2500 (multiplicity 2)

Properties
Calculated total energy (eV per atom): -6.1555
Density of states at the Fermi level (states/eV/cell): 0.00
Formation energy from raw total energies (meV/atom): -1383
Crystal system: hexagonal

---

This record from the Alexandria database describes RbAsOF4 after structural relaxation. The functional is GGA-PBEsol.

Lattice parameters (Å, degrees): 5.043 6.173 13.764 90.00 98.09 90.00
Space group P2_1/c (No. 14)
Unique sites:
Rb 0.097 0.127 0.155 (multiplicity 4)
As 0.471 0.613 0.081 (multiplicity 4)
O 0.295 0.099 0.507 (multiplicity 4)
F 0.231 0.612 0.164 (multiplicity 4)
F 0.282 0.671 0.519 (multiplicity 4)
F 0.341 0.183 0.848 (multiplicity 4)
F 0.345 0.580 0.837 (multiplicity 4)

Properties
Calculated total energy (eV per atom): -5.0012
Density of states at the Fermi level (states/eV/cell): 0.00
Formation energy from raw total energies (meV/atom): -2274
Crystal system: monoclinic

---

This record from the Alexandria database describes Sr2Ti2As2OF2 after structural relaxation. The functional is GGA-PBEsol.

Lattice parameters (Å, degrees): 4.010 4.010 19.349 90.00 90.00 90.00
Space group I4/mmm (No. 139)
Unique sites:
Sr 0.000 0.000 0.177 (multiplicity 4)
Ti 0.000 0.500 0.000 (multiplicity 4)
As 0.000 0.000 0.408 (multiplicity 4)
O 0.000 0.000 0.000 (multiplicity 2)
F 0.000 0.500 0.250 (multiplicity 4)

Properties
Calculated total energy (eV per atom): -6.8221
Density of states at the Fermi level (states/eV/cell): 7.61
Formation energy from raw total energies (meV/atom): -2417
Crystal system: tetragonal

---

This record from the Alexandria database describes TeAsOF2 after structural relaxation. The functional is GGA-PBEsol.

Lattice parameters (Å, degrees): 4.084 4.084 4.469 90.00 90.00 90.00
Space group P4/mmm (No. 123)
Unique sites:
Te 0.000 0.000 0.000 (multiplicity 1)
As 0.500 0.500 0.500 (multiplicity 1)
O 0.500 0.500 0.000 (multiplicity 1)
F 0.000 0.500 0.500 (multiplicity 2)

Properties
Calculated total energy (eV per atom): -4.2388
Density of states at the Fermi level (states/eV/cell): 3.11
Formation energy from raw total energies (meV/atom): -691
Crystal system: tetragonal

---

This record from the Alexandria database describes ZrAsO2F after structural relaxation. The functional is GGA-PBEsol.

Lattice parameters (Å, degrees): 4.070 4.070 4.046 90.00 90.00 90.00
Space group P4/mmm (No. 123)
Unique sites:
Zr 0.000 0.000 0.000 (multiplicity 1)
As 0.500 0.500 0.500 (multiplicity 1)
O 0.000 0.500 0.500 (multiplicity 2)
F 0.500 0.500 0.000 (multiplicity 1)

Properties
Calculated total energy (eV per atom): -6.1824
Density of states at the Fermi level (states/eV/cell): 3.91
Formation energy from raw total energies (meV/atom): -858
Crystal system: tetragonal

---

This record from the Alexandria database describes ZrAs2OF after structural relaxation. The functional is GGA-PBEsol.

Lattice parameters (Å, degrees): 4.307 4.307 4.276 90.00 90.00 90.00
Space group P4/mmm (No. 123)
Unique sites:
Zr 0.000 0.000 0.000 (multiplicity 1)
As 0.000 0.500 0.500 (multiplicity 2)
O 0.000 0.000 0.500 (multiplicity 1)
F 0.500 0.500 0.000 (multiplicity 1)

Properties
Calculated total energy (eV per atom): -5.9565
Density of states at the Fermi level (states/eV/cell): 2.32
Formation energy from raw total energies (meV/atom): -661
Crystal system: tetragonal

---

This record from the Alexandria database describes AsOs3F after structural relaxation. The functional is GGA-PBEsol.

Lattice parameters (Å, degrees): 4.198 4.198 4.198 90.00 90.00 90.00
Space group Pm-3m (No. 221)
Unique sites:
As 0.000 0.000 0.000 (multiplicity 1)
Os 0.000 0.500 0.500 (multiplicity 3)
F 0.500 0.500 0.500 (multiplicity 1)

Properties
Calculated total energy (eV per atom): -6.9041
Density of states at the Fermi level (states/eV/cell): 7.77
Formation energy from raw total energies (meV/atom): 1832
Crystal system: cubic

---

This record from the Alexandria database describes As2PbF2 after structural relaxation. The functional is GGA-PBEsol.

Lattice parameters (Å, degrees): 3.462 3.462 16.867 90.00 90.00 90.00
Space group I4/mmm (No. 139)
Unique sites:
As 0.000 0.500 0.250 (multiplicity 4)
Pb 0.000 0.000 0.000 (multiplicity 2)
F 0.000 0.000 0.429 (multiplicity 4)

Properties
Calculated total energy (eV per atom): -4.4897
Density of states at the Fermi level (states/eV/cell): 3.06
Formation energy from raw total energies (meV/atom): -876
Crystal system: tetragonal

---

This record from the Alexandria database describes AsPtPbF2 after structural relaxation. The functional is GGA-PBEsol.

Lattice parameters (Å, degrees): 4.183 4.183 5.769 90.00 90.00 90.00
Space group P4/mmm (No. 123)
Unique sites:
As 0.000 0.000 0.000 (multiplicity 1)
Pt 0.500 0.500 0.000 (multiplicity 1)
Pb 0.000 0.000 0.500 (multiplicity 1)
F 0.000 0.500 0.500 (multiplicity 2)

Properties
Calculated total energy (eV per atom): -4.4090
Density of states at the Fermi level (states/eV/cell): 4.74
Formation energy from raw total energies (meV/atom): -424
Crystal system: tetragonal

---

This record from the Alexandria database describes AsPd2F after structural relaxation. The functional is GGA-PBEsol.

Lattice parameters (Å, degrees): 5.974 5.974 5.974 90.00 90.00 90.00
Space group Fm-3m (No. 225)
Unique sites:
As 0.000 0.000 0.000 (multiplicity 4)
Pd 0.250 0.250 0.250 (multiplicity 8)
F 0.000 0.000 0.500 (multiplicity 4)

Properties
Calculated total energy (eV per atom): -5.3545
Density of states at the Fermi level (states/eV/cell): 5.85
Formation energy from raw total energies (meV/atom): -617
Crystal system: cubic

---

This record from the Alexandria database describes RbAs3F after structural relaxation. The functional is GGA-PBEsol.

Lattice parameters (Å, degrees): 6.951 6.951 6.951 90.00 90.00 90.00
Space group Pm-3m (No. 221)
Unique sites:
Rb 0.000 0.000 0.000 (multiplicity 1)
As 0.000 0.000 0.500 (multiplicity 3)
F 0.500 0.500 0.500 (multiplicity 1)

Properties
Calculated total energy (eV per atom): -2.0657
Density of states at the Fermi level (states/eV/cell): 12.12
Formation energy from raw total energies (meV/atom): 1589
Crystal system: cubic

---

This record from the Alexandria database describes RbAsF2 after structural relaxation. The functional is GGA-PBEsol.

Lattice parameters (Å, degrees): 6.558 6.558 6.558 90.00 90.00 90.00
Space group Fm-3m (No. 225)
Unique sites:
Rb 0.000 0.000 0.000 (multiplicity 4)
As 0.000 0.000 0.500 (multiplicity 4)
F 0.250 0.250 0.250 (multiplicity 8)

Properties
Calculated total energy (eV per atom): -3.5060
Density of states at the Fermi level (states/eV/cell): 17.20
Formation energy from raw total energies (meV/atom): -1009
Crystal system: cubic